Entry 1:
The following is a DFT calculation (PBE-GGA) of a relaxed KAsW2 crystal.

Output
space group = P4/mmm, No. 123
ΔH_f (0 K) = 24.12 kcal/mol of atoms

Unit cell a=3.1956 b=3.1956 c=8.7563 alpha=90.00 beta=90.00 gamma=90.00
Element x y z (fractional)
K: 0.0000 0.0000 0.0000
As: 0.0000 0.0000 0.5000
W: 0.5000 0.5000 0.3502
W: 0.5000 0.5000 0.6498

***

Entry 2:
The following is a DFT calculation (PBE-GGA) of a relaxed NdSmMoN4 crystal.

Output
space group = I4mm, No. 107
formation energy without anion corrections = -0.939 eV per atom

Unit cell a=6.9126 b=6.9126 c=6.9126 alpha=147.02 beta=147.02 gamma=47.34
Element x y z (fractional)
Nd: 0.0000 0.0000 0.0000
Sm: 0.7084 0.7084 0.0000
Mo: 0.3467 0.3467 0.0000
N: 0.1918 0.1918 0.0000
N: 0.3584 0.8584 0.5000
N: 0.5298 0.5298 0.0000
N: 0.8584 0.3584 0.5000

***

Entry 3:
The following is a DFT calculation (PBE-GGA) of a relaxed Tb16B4Br23 crystal.

Output
space group = C2/m, No. 12
formation energy without anion corrections = -1.488 eV per atom

Unit cell a=10.7997 b=10.7997 c=12.1897 alpha=101.70 beta=101.70 gamma=68.57
Element x y z (fractional)
Tb: 0.1890 0.1890 0.2284
Tb: 0.1905 0.8043 0.6496
Tb: 0.1916 0.4852 0.1306
Tb: 0.1957 0.8095 0.3504
Tb: 0.2028 0.5006 0.4381
Tb: 0.4852 0.1916 0.1306
Tb: 0.4944 0.4944 0.3520
Tb: 0.4994 0.7972 0.5619
Tb: 0.5006 0.2028 0.4381
Tb: 0.5056 0.5056 0.6480
Tb: 0.5148 0.8084 0.8694
Tb: 0.7972 0.4994 0.5619
Tb: 0.8043 0.1905 0.6496
Tb: 0.8084 0.5148 0.8694
Tb: 0.8095 0.1957 0.3504
Tb: 0.8110 0.8110 0.7716
B: 0.3312 0.6688 0.5000
B: 0.3338 0.3338 0.2741
B: 0.6662 0.6662 0.7259
B: 0.6688 0.3312 0.5000
Br: 0.0000 0.0000 0.5000
Br: 0.0021 0.3419 0.0601
Br: 0.0029 0.3409 0.3949
Br: 0.0031 0.6729 0.2776
Br: 0.0148 0.0148 0.1938
Br: 0.3271 0.9969 0.7224
Br: 0.3315 0.6617 0.8332
Br: 0.3330 0.3330 0.6137
Br: 0.3366 0.3366 0.9520
Br: 0.3383 0.6685 0.1668
Br: 0.3409 0.0029 0.3949
Br: 0.3419 0.0021 0.0601
Br: 0.6581 0.9979 0.9399
Br: 0.6591 0.9971 0.6051
Br: 0.6617 0.3315 0.8332
Br: 0.6634 0.6634 0.0480
Br: 0.6670 0.6670 0.3863
Br: 0.6685 0.3383 0.1668
Br: 0.6729 0.0031 0.2776
Br: 0.9852 0.9852 0.8062
Br: 0.9969 0.3271 0.7224
Br: 0.9971 0.6591 0.6051
Br: 0.9979 0.6581 0.9399

***

Entry 4:
The following is a DFT calculation (PBE-GGA) of a relaxed Hf6Co5Ni crystal.

Output
space group = Immm, No. 71
ΔH_f (0 K) = -9.14 kcal/mol of atoms

Unit cell a=7.7307 b=7.7307 c=7.7307 alpha=146.55 beta=131.48 gamma=60.21
Element x y z (fractional)
Hf: 0.0829 0.3328 0.7501
Hf: 0.2497 0.0000 0.2497
Hf: 0.4172 0.6672 0.7501
Hf: 0.5828 0.3328 0.2499
Hf: 0.7503 0.0000 0.7503
Hf: 0.9171 0.6672 0.2499
Co: 0.0000 0.5000 0.5000
Co: 0.1652 0.1652 0.0000
Co: 0.3308 0.8308 0.5000
Co: 0.6692 0.1692 0.5000
Co: 0.8348 0.8348 0.0000
Ni: 0.5000 0.5000 0.0000

***

Entry 5:
The following is a DFT calculation (PBE-GGA) of a relaxed HfReSn3 crystal.

Output
space group = Pm-3m, No. 221
ΔH_f (0 K) = 19.89 kcal/mol of atoms
distance to the lowest polymorph of the same formula = 0.00 eV/f.u.

Unit cell a=5.1517 b=5.1517 c=5.1517 alpha=90.00 beta=90.00 gamma=90.00
Element x y z (fractional)
Hf: 0.0000 0.0000 0.0000
Re: 0.5000 0.5000 0.5000
Sn: 0.0000 0.5000 0.5000
Sn: 0.5000 0.0000 0.5000
Sn: 0.5000 0.5000 0.0000

***

Entry 6:
The following is a DFT calculation (PBE-GGA) of a relaxed SbPt3Rh crystal.

Output
space group = Pm-3m, No. 221
distance to the lowest polymorph of the same formula = 0.00 eV/f.u.
formation energy without anion corrections = 1.069 eV per atom

Unit cell a=4.8293 b=4.8293 c=4.8293 alpha=90.00 beta=90.00 gamma=90.00
Element x y z (fractional)
Sb: 0.0000 0.0000 0.0000
Pt: 0.0000 0.5000 0.5000
Pt: 0.5000 0.0000 0.5000
Pt: 0.5000 0.5000 0.0000
Rh: 0.5000 0.5000 0.5000

***

Entry 7:
The following is a DFT calculation (PBE-GGA) of a relaxed LiScTc crystal.

Output
space group = I4mm, No. 107
ΔH_f (0 K) = 4.78 kcal/mol of atoms
distance to the lowest polymorph of the same formula = 0.19 eV/f.u.

Unit cell a=5.0218 b=5.0218 c=5.0218 alpha=141.53 beta=141.53 gamma=55.53
Element x y z (fractional)
Li: 0.0000 0.0000 0.0000
Sc: 0.6888 0.6888 0.0000
Tc: 0.3517 0.3517 0.0000

***

Entry 8:
The following is a DFT calculation (PBE-GGA) of a relaxed Sn3BiTe4 crystal.

Output
space group = R-3m, No. 166
formation energy without anion corrections = -0.206 eV per atom

Unit cell a=14.4884 b=14.4884 c=14.4884 alpha=18.40 beta=18.40 gamma=18.40
Element x y z (fractional)
Sn: 0.0000 0.0000 0.0000
Sn: 0.2512 0.2512 0.2512
Sn: 0.7488 0.7488 0.7488
Bi: 0.5000 0.5000 0.5000
Te: 0.1250 0.1250 0.1250
Te: 0.3751 0.3751 0.3751
Te: 0.6249 0.6249 0.6249
Te: 0.8750 0.8750 0.8750